[1]
# PBE TmSn2Au, relaxed
data_TmSn2Au
_symmetry_space_group_name_H-M 'R -3 m'
_symmetry_Int_Tables_number 166
_symmetry_space_group_name_Hall '-R 3 2"'
_cell_length_a 3.4775
_cell_length_b 3.4775
_cell_length_c 30.9747
_cell_angle_alpha 90.00
_cell_angle_beta 90.00
_cell_angle_gamma 120.00
loop_
_atom_site_label
_atom_site_type_symbol
_atom_site_fract_x
_atom_site_fract_y
_atom_site_fract_z
_atom_site_occupancy
Tm1 Tm 0.0000 0.0000 0.0000 1
Sn1 Sn 0.0000 0.0000 0.0994 1
Au1 Au 0.0000 0.0000 0.5000 1
# **Electronic total energy**: -3.954 eV/atom
# **Density**: 9.27 g cm⁻³
# **ΔE_f**: -0.015 eV per atom

[2]
# PBE CrGaRe, relaxed
data_CrGaRe
_symmetry_space_group_name_H-M 'P 3 m 1'
_symmetry_Int_Tables_number 156
_symmetry_space_group_name_Hall 'P 3 -2"'
_cell_length_a 4.2208
_cell_length_b 4.2208
_cell_length_c 2.6740
_cell_angle_alpha 90.00
_cell_angle_beta 90.00
_cell_angle_gamma 120.00
loop_
_atom_site_label
_atom_site_type_symbol
_atom_site_fract_x
_atom_site_fract_y
_atom_site_fract_z
_atom_site_occupancy
Cr1 Cr 0.0000 0.0000 0.0000 1
Ga1 Ga 0.3333 0.6667 0.7045 1
Re1 Re 0.6667 0.3333 0.2771 1
# **Electronic total energy**: -8.251 eV/atom
# **Relative energy among the computed polymorphs**: 147 meV per atom
# **Density**: 12.39 g cm⁻³
# **ΔE_f**: 0.115 eV per atom